A relaxed structure of Ca2NiTe. Source: Alexandria, functional PBEsol.

## Properties
Formation energy (no corrections) (kJ/mol of formula units): -263
Symmetry: Amm2 (38)
Density of states at the Fermi level (states/eV/atom): 0.465

Unit cell a=4.262 b=5.923 c=5.923 alpha=40.92 beta=90.00 gamma=90.00
Atoms (fractional coordinates):
Ca: 0.000 0.000 0.000
Ca: 0.500 0.293 0.293
Ni: 0.000 0.720 0.720
Te: 0.500 0.584 0.584


A relaxed structure of CaNiTe. Source: Alexandria, functional PBEsol.

## Properties
Formation energy (no corrections) (kJ/mol of formula units): -245
Symmetry: P-6m2 (187)
Density of states at the Fermi level (states/eV/atom): 0.372

Unit cell a=4.239 b=4.239 c=4.164 alpha=90.00 beta=90.00 gamma=120.00
Atoms (fractional coordinates):
Ca: 0.000 0.000 0.000
Ni: 0.333 0.667 0.500
Te: 0.667 0.333 0.500


A relaxed structure of Ca3NiTe. Source: Alexandria, functional PBEsol.

## Properties
Formation energy (no corrections) (kJ/mol of formula units): -197
Symmetry: Pm-3m (221)
Density of states at the Fermi level (states/eV/atom): 0.889

Unit cell a=5.254 b=5.254 c=5.254 alpha=90.00 beta=90.00 gamma=90.00
Atoms (fractional coordinates):
Ca: 0.000 0.000 0.500
Ca: 0.000 0.500 0.000
Ca: 0.500 0.000 0.000
Ni: 0.000 0.000 0.000
Te: 0.500 0.500 0.500


A relaxed structure of CaNi2Te2. Source: Alexandria, functional PBEsol.

## Properties
Formation energy (no corrections) (kJ/mol of formula units): -261
Symmetry: I4/mmm (139)
Density of states at the Fermi level (states/eV/atom): 0.642

Unit cell a=6.916 b=6.916 c=6.916 alpha=146.16 beta=146.16 gamma=48.61
Atoms (fractional coordinates):
Ca: 0.000 0.000 0.000
Ni: 0.250 0.750 0.500
Ni: 0.750 0.250 0.500
Te: 0.367 0.367 0.000
Te: 0.633 0.633 0.000


A relaxed structure of CaNiTe2. Source: Alexandria, functional PBEsol.

## Properties
Formation energy (no corrections) (kJ/mol of formula units): -237
Symmetry: P2/m (10)
Density of states at the Fermi level (states/eV/atom): 0.375

Unit cell a=4.297 b=3.815 c=6.514 alpha=90.00 beta=106.30 gamma=90.00
Atoms (fractional coordinates):
Ca: 0.000 0.000 0.000
Ni: 0.500 0.000 0.500
Te: 0.423 0.500 0.728
Te: 0.577 0.500 0.272


A relaxed structure of CaNiTe3. Source: Alexandria, functional PBEsol.

## Properties
Formation energy (no corrections) (kJ/mol of formula units): -185
Symmetry: Pm-3m (221)
Density of states at the Fermi level (states/eV/atom): 0.782

Unit cell a=5.092 b=5.092 c=5.092 alpha=90.00 beta=90.00 gamma=90.00
Atoms (fractional coordinates):
Ca: 0.000 0.000 0.000
Ni: 0.500 0.500 0.500
Te: 0.000 0.500 0.500
Te: 0.500 0.000 0.500
Te: 0.500 0.500 0.000


A relaxed structure of CaTl2Ni. Source: Alexandria, functional PBEsol.

## Properties
Energy relative to the elements (eV/f.u.): 0.086
Symmetry: Imm2 (44)
Density of states at the Fermi level (states/eV/atom): 0.555

Unit cell a=5.742 b=5.742 c=5.742 alpha=140.95 beta=130.19 gamma=65.05
Atoms (fractional coordinates):
Ca: 0.000 0.000 0.000
Tl: 0.428 0.428 0.000
Tl: 0.712 0.212 0.500
Ni: 0.239 0.739 0.500


A relaxed structure of CaTl2Ni. Source: Alexandria, functional PBEsol.

## Properties
Energy relative to the elements (eV/f.u.): -0.168
Symmetry: I4/mmm (139)
Density of states at the Fermi level (states/eV/atom): 0.444

Unit cell a=4.887 b=4.887 c=4.887 alpha=119.85 beta=119.85 gamma=90.26
Atoms (fractional coordinates):
Ca: 0.000 0.000 0.000
Tl: 0.250 0.750 0.500
Tl: 0.750 0.250 0.500
Ni: 0.500 0.500 0.000